Record 1
CeSm2Tl3Te6 | PBE | relaxed

Results
E_form (uncorrected) = -1.046 eV/atom
DOS at the Fermi energy = 0.69 states/eV per atom
Symmetry = C2/m (12)

Unit cell a=7.8795 b=7.8795 c=8.5931 alpha=98.79 beta=98.79 gamma=119.99
With the nearest neighbours (Å) after each atom.
Positions (direct):
Te 0.2640 0.2640 0.7820  2 Sm 3.16, 1 Ce 3.20, 3 Tl 3.48-3.50
Te 0.0728 0.4095 0.2185  2 Sm 3.17, 1 Ce 3.20, 3 Tl 3.48-3.50
Te 0.4095 0.0728 0.2185  2 Sm 3.17, 1 Ce 3.20, 3 Tl 3.48-3.50
Te 0.5905 0.9272 0.7815  2 Sm 3.17, 1 Ce 3.20, 3 Tl 3.48-3.50
Te 0.9272 0.5905 0.7815  2 Sm 3.17, 1 Ce 3.20, 3 Tl 3.48-3.50
Te 0.7360 0.7360 0.2180  2 Sm 3.16, 1 Ce 3.20, 3 Tl 3.48-3.50
Tl 0.1665 0.8335 0.5000  6 Te 3.48-3.50
Tl 0.8335 0.1665 0.5000  6 Te 3.48-3.50
Tl 0.5000 0.5000 0.5000  6 Te 3.48-3.50
Sm 0.3333 0.6667 0.0000  6 Te 3.16-3.17
Sm 0.6667 0.3333 0.0000  6 Te 3.16-3.17
Ce 0.0000 0.0000 0.0000  6 Te 3.20



Record 2
ZrNiRu | PBE | relaxed

Results
DFT formation energy = -0.261 eV per atom
Distance to the lowest polymorph of the same formula = 145.1 meV/atom
DOS at the Fermi energy = 0.77 states/eV per atom
Symmetry = C2/c (15)

Unit cell a=5.2511 b=8.7723 c=4.9570 alpha=90.00 beta=124.20 gamma=90.00
With the nearest neighbours (Å) after each atom.
Positions (direct):
Ru 0.7500 0.4367 0.2500  2 Ru 2.64, 3 Ni 2.65-2.85, 5 Zr 2.67-2.95
Ru 0.2500 0.0633 0.2500  2 Ru 2.64, 3 Ni 2.65-2.85, 5 Zr 2.67-2.95
Ru 0.7500 0.9367 0.7500  2 Ru 2.64, 3 Ni 2.65-2.85, 5 Zr 2.67-2.95
Ru 0.2500 0.5633 0.7500  2 Ru 2.64, 3 Ni 2.65-2.85, 5 Zr 2.67-2.95
Ni 0.2500 0.2608 0.7500  2 Ni 2.63, 3 Ru 2.65-2.85, 4 Zr 2.69
Ni 0.7500 0.2392 0.7500  2 Ni 2.63, 3 Ru 2.65-2.85, 4 Zr 2.69
Ni 0.7500 0.7392 0.2500  2 Ni 2.63, 3 Ru 2.65-2.85, 4 Zr 2.69
Ni 0.2500 0.7608 0.2500  2 Ni 2.63, 3 Ru 2.65-2.85, 4 Zr 2.69
Zr 0.2500 0.8807 0.7500  5 Ru 2.67-2.95, 4 Ni 2.69
Zr 0.2500 0.3807 0.2500  5 Ru 2.67-2.95, 4 Ni 2.69
Zr 0.7500 0.6193 0.7500  5 Ru 2.67-2.95, 4 Ni 2.69
Zr 0.7500 0.1193 0.2500  5 Ru 2.67-2.95, 4 Ni 2.69



Record 3
FeCoSn4 | PBE | relaxed

Results
DFT formation energy = 0.069 eV per atom
Distance to the lowest polymorph of the same formula = 73.5 meV/atom
DOS at the Fermi energy = 0.60 states/eV per atom
Symmetry = I4/mcm (140)

Unit cell a=6.3242 b=6.3242 c=7.2096 alpha=116.01 beta=116.01 gamma=90.00
With the nearest neighbours (Å) after each atom.
Positions (direct):
Fe 0.7500 0.7500 0.5000  8 Sn 2.72, 2 Co 2.83
Fe 0.2500 0.2500 0.5000  8 Sn 2.72, 2 Co 2.83
Sn 0.2027 0.7027 0.7396  2 Fe 2.72, 2 Co 2.78, 2 Sn 2.94-2.99
Sn 0.7973 0.2973 0.2604  2 Fe 2.72, 2 Co 2.78, 2 Sn 2.94-2.99
Sn 0.7027 0.5369 0.7396  2 Fe 2.72, 2 Co 2.78, 2 Sn 2.94-2.99
Sn 0.5369 0.0369 0.7396  2 Fe 2.72, 2 Co 2.78, 2 Sn 2.94-2.99
Sn 0.0369 0.2027 0.7396  2 Fe 2.72, 2 Co 2.78, 2 Sn 2.94-2.99
Sn 0.2973 0.4631 0.2604  2 Fe 2.72, 2 Co 2.78, 2 Sn 2.94-2.99
Sn 0.4631 0.9631 0.2604  2 Fe 2.72, 2 Co 2.78, 2 Sn 2.94-2.99
Sn 0.9631 0.7973 0.2604  2 Fe 2.72, 2 Co 2.78, 2 Sn 2.94-2.99
Co 0.5000 0.5000 0.0000  8 Sn 2.78, 2 Fe 2.83
Co 0.0000 0.0000 0.0000  8 Sn 2.78, 2 Fe 2.83



Record 4
Na2Ga4PdAu3 | PBE | relaxed

Results
DFT formation energy = -0.348 eV per atom
DOS at the Fermi energy = 0.34 states/eV per atom
Symmetry = P-4m2 (115)

Unit cell a=4.2985 b=4.2985 c=11.0836 alpha=90.00 beta=90.00 gamma=90.00
With the nearest neighbours (Å) after each atom.
Positions (direct):
Pd 0.5000 0.5000 0.5000  4 Ga 2.57
Au 0.0000 0.5000 0.1426  5 Ga 2.54-2.67
Au 0.0000 0.0000 0.5000  4 Ga 2.57
Au 0.5000 0.0000 0.8574  5 Ga 2.54-2.67
Na 0.5000 0.0000 0.2595  8 Ga 3.29-3.59, 6 Au 3.30-3.42, 2 Pd 3.42
Na 0.0000 0.5000 0.7405  8 Ga 3.29-3.59, 6 Au 3.30-3.42, 2 Pd 3.42
Ga 0.0000 0.5000 0.3721  3 Au 2.54-2.57, 2 Pd 2.57
Ga 0.5000 0.0000 0.6279  3 Au 2.54-2.57, 2 Pd 2.57
Ga 0.0000 0.0000 0.0000  4 Au 2.67
Ga 0.5000 0.5000 0.0000  4 Au 2.67



Record 5
AgBiH | PBE | relaxed

Results
Distance to the lowest polymorph of the same formula = 0.0 meV/atom
DOS at the Fermi energy = 0.25 states/eV per atom
Symmetry = P-1 (2)

Unit cell a=4.8985 b=5.4810 c=5.3865 alpha=119.13 beta=90.15 gamma=97.96
With the nearest neighbours (Å) after each atom.
Positions (direct):
H 0.9910 0.6029 0.1619  1 H 0.76
H 0.9925 0.6054 0.0213  1 H 0.76
Ag 0.2228 0.4537 0.5159  2 H 2.71-2.73, 2 Ag 2.79-2.87, 2 Bi 2.93-2.98
Ag 0.7607 0.7548 0.6672  2 H 2.71-2.73, 2 Ag 2.79-2.87, 2 Bi 2.93-2.98
Bi 0.3081 0.1046 0.8419  5 Ag 2.93-3.24, 2 H 3.07-3.08, 2 Bi 3.23-3.24
Bi 0.6754 0.1038 0.3412  5 Ag 2.93-3.24, 2 H 3.07-3.08, 2 Bi 3.23-3.24



Record 6
Tb6Sm7 | PBE | relaxed

Results
DFT formation energy = 0.255 eV per atom
DOS at the Fermi energy = 2.20 states/eV per atom
Symmetry = R-3m (166)

Unit cell a=6.6285 b=6.6285 c=12.1588 alpha=74.18 beta=74.18 gamma=60.00
With the nearest neighbours (Å) after each atom.
Positions (direct):
Sm 0.9226 0.4070 0.2635  5 Sm 3.21-3.42, 2 Tb 3.59
Sm 0.4070 0.9226 0.2635  5 Sm 3.21-3.42, 2 Tb 3.59
Sm 0.4070 0.4070 0.2635  5 Sm 3.21-3.42, 2 Tb 3.59
Sm 0.5930 0.5930 0.7365  5 Sm 3.21-3.42, 2 Tb 3.59
Sm 0.0774 0.5930 0.7365  5 Sm 3.21-3.42, 2 Tb 3.59
Sm 0.5930 0.0774 0.7365  5 Sm 3.21-3.42, 2 Tb 3.59
Sm 0.5000 0.5000 0.5000  6 Sm 3.37
Tb 0.0455 0.0455 0.8634  1 Tb 3.15
Tb 0.3344 0.3344 0.9967  6 Sm 3.59, 3 Tb 3.83
Tb 0.1476 0.1476 0.5572  1 Tb 3.53, 12 Sm 3.86-3.91
Tb 0.6656 0.6656 0.0033  6 Sm 3.59, 3 Tb 3.83
Tb 0.8524 0.8524 0.4428  1 Tb 3.53, 12 Sm 3.86-3.91
Tb 0.9545 0.9545 0.1366  1 Tb 3.15



Record 7
PmTi2Ge2 | PBE | relaxed

Results
DFT formation energy = -0.679 eV per atom
DOS at the Fermi energy = 1.10 states/eV per atom
Symmetry = I4/mmm (139)

Unit cell a=4.1000 b=4.0999 c=6.6045 alpha=108.11 beta=108.08 gamma=90.00
With the nearest neighbours (Å) after each atom.
Positions (direct):
Ge 0.6097 0.6096 0.2195  1 Ge 2.60, 4 Ti 2.64
Ge 0.3903 0.3904 0.7805  1 Ge 2.60, 4 Ti 2.64
Ti 0.7500 0.2505 0.5000  4 Ge 2.64, 4 Ti 2.90
Ti 0.2500 0.7495 0.5000  4 Ge 2.64, 4 Ti 2.90
Pm 0.0000 0.0000 0.0000  8 Ge 3.18



Record 8
Li3Ag | PBE | relaxed

Results
DFT formation energy = -0.139 eV per atom
Distance to the lowest polymorph of the same formula = 7.5 meV/atom
DOS at the Fermi energy = 0.44 states/eV per atom
Symmetry = P6_3/mmc (194)

Unit cell a=5.7999 b=5.7999 c=9.2825 alpha=90.00 beta=90.00 gamma=120.00
With the nearest neighbours (Å) after each atom.
Positions (direct):
Li 0.6764 0.8382 0.7500  8 Li 2.82-2.98, 4 Ag 2.83-2.90
Li 0.5000 0.5000 0.5000  4 Ag 2.86-2.90, 8 Li 2.88-2.90
Li 0.5000 0.0000 0.5000  4 Ag 2.86-2.90, 8 Li 2.88-2.90
Li 0.0000 0.5000 0.5000  4 Ag 2.86-2.90, 8 Li 2.88-2.90
Li 0.5000 0.0000 0.0000  4 Ag 2.86-2.90, 8 Li 2.88-2.90
Li 0.1618 0.8382 0.7500  8 Li 2.82-2.98, 4 Ag 2.83-2.90
Li 0.0000 0.5000 0.0000  4 Ag 2.86-2.90, 8 Li 2.88-2.90
Li 0.1618 0.3236 0.7500  8 Li 2.82-2.98, 4 Ag 2.83-2.90
Li 0.3236 0.1618 0.2500  8 Li 2.82-2.98, 4 Ag 2.83-2.90
Li 0.5000 0.5000 0.0000  4 Ag 2.86-2.90, 8 Li 2.88-2.90
Li 0.8382 0.1618 0.2500  8 Li 2.82-2.98, 4 Ag 2.83-2.90
Li 0.8382 0.6764 0.2500  8 Li 2.82-2.98, 4 Ag 2.83-2.90
Ag 0.0000 0.0000 0.0000  12 Li 2.83-2.90
Ag 0.0000 0.0000 0.5000  12 Li 2.83-2.90
Ag 0.3333 0.6667 0.2500  12 Li 2.86-2.90
Ag 0.6667 0.3333 0.7500  12 Li 2.86-2.90



Record 9
Y5CoCu4 | PBE | relaxed

Results
DFT formation energy = -0.219 eV per atom
DOS at the Fermi energy = 0.60 states/eV per atom
Symmetry = P4/mmm (123)

Unit cell a=3.4419 b=3.4419 c=17.4895 alpha=90.00 beta=90.00 gamma=90.00
With the nearest neighbours (Å) after each atom.
Positions (direct):
Co 0.0000 0.0000 0.0000  8 Y 2.94
Y 0.5000 0.5000 0.0943  4 Co 2.94, 4 Cu 3.03
Y 0.5000 0.5000 0.9057  4 Co 2.94, 4 Cu 3.03
Y 0.5000 0.5000 0.5000  8 Cu 3.00
Y 0.5000 0.5000 0.7026  8 Cu 3.00-3.02
Y 0.5000 0.5000 0.2974  8 Cu 3.00-3.02
Cu 0.0000 0.0000 0.1972  8 Y 3.00-3.03
Cu 0.0000 0.0000 0.6006  8 Y 3.00-3.02
Cu 0.0000 0.0000 0.3994  8 Y 3.00-3.02
Cu 0.0000 0.0000 0.8028  8 Y 3.00-3.03



Record 10
CeNd3Al8 | PBE | relaxed

Results
DFT formation energy = -0.470 eV per atom
Distance to the lowest polymorph of the same formula = 13.1 meV/atom
DOS at the Fermi energy = 0.96 states/eV per atom
Symmetry = P3m1 (156)

Unit cell a=5.6593 b=5.6593 c=9.3190 alpha=90.00 beta=90.00 gamma=120.00
With the nearest neighbours (Å) after each atom.
Positions (direct):
Nd 0.6667 0.3333 0.4342  12 Al 3.31-3.34, 1 Nd 3.42, 3 Ce 3.50
Nd 0.0000 0.0000 0.9265  12 Al 3.28-3.41, 1 Ce 3.32, 3 Nd 3.52
Nd 0.6667 0.3333 0.0673  12 Al 3.31-3.37, 4 Nd 3.42-3.52
Ce 0.0000 0.0000 0.5699  12 Al 3.28-3.37, 4 Nd 3.32-3.50
Al 0.1621 0.3243 0.2506  6 Al 2.75-2.91
Al 0.5040 0.0079 0.7489  6 Al 2.76-2.90
Al 0.1621 0.8379 0.2506  6 Al 2.75-2.91
Al 0.3333 0.6667 0.5007  6 Al 2.85-2.87
Al 0.5040 0.4960 0.7489  6 Al 2.76-2.90
Al 0.9921 0.4960 0.7489  6 Al 2.76-2.90
Al 0.6757 0.8379 0.2506  6 Al 2.75-2.91
Al 0.3333 0.6667 0.0029  6 Al 2.85-2.90



Record 11
SrPm2Pd9 | PBE | relaxed

Results
DFT formation energy = -0.641 eV per atom
DOS at the Fermi energy = 0.68 states/eV per atom
Symmetry = R-3m (166)

Unit cell a=5.4648 b=5.4648 c=9.5480 alpha=73.37 beta=73.37 gamma=60.00
With the nearest neighbours (Å) after each atom.
Positions (direct):
Pd 0.6668 0.6668 0.9995  6 Pd 2.79-2.81
Pd 0.4128 0.9179 0.2565  7 Pd 2.70-2.81
Pd 0.0821 0.5872 0.7435  7 Pd 2.70-2.81
Pd 0.5000 0.5000 0.5000  6 Pd 2.71
Pd 0.5872 0.0821 0.7435  7 Pd 2.70-2.81
Pd 0.4128 0.4128 0.2565  7 Pd 2.70-2.81
Pd 0.5872 0.5872 0.7435  7 Pd 2.70-2.81
Pd 0.9179 0.4128 0.2565  7 Pd 2.70-2.81
Pd 0.3332 0.3332 0.0005  6 Pd 2.79-2.81
Pm 0.1386 0.1386 0.5843  12 Pd 3.09-3.34
Pm 0.8614 0.8614 0.4157  12 Pd 3.09-3.34
Sr 0.0000 0.0000 0.0000  6 Pd 3.16



Record-wise E values, in Ha/atom: -0.165 -0.299 -0.191 -0.122 -0.118 -0.163 -0.244 -0.084 -0.213 -0.171 -0.201